# 1
Material: SrGaRe3
Method: DFT, PBE
State: optimized geometry

The structure belongs to space group Pm-3m (No. 221); the cell edges are 4.708, 4.708 and 4.708 Å and the angles 90.00°, 90.00° and 90.00°. The asymmetric unit holds Sr at (0.000, 0.000, 0.000), Ga at (0.500, 0.500, 0.500) and Re at (0.000, 0.500, 0.500).

The calculation puts the calculated formation energy at 1.695 eV/atom. The crystal system is cubic. The value obtained for the volume is 20.877 Å³/atom. Its energy relative to the lowest polymorph listed for this composition is 0.000 eV per atom. The calculation puts the size of the total moment at 0.00 μB per formula unit.

# 2
Material: Ta2Ga2Re
Method: DFT, PBE
State: optimized geometry

The structure belongs to space group P4/mbm (No. 127); the cell edges are 6.661, 6.661 and 3.607 Å and the angles 90.00°, 90.00° and 90.00°. The asymmetric unit holds Ta at (0.171, 0.329, 0.000), Ga at (0.130, 0.630, 0.500) and Re at (0.000, 0.000, 0.500).

The calculation puts the calculated formation energy at -0.115 eV/atom. The crystal system is tetragonal. The value obtained for the volume is 16.001 Å³/atom. The calculation puts the size of the total moment at 0.00 μB per formula unit.

Copy entry 1 word for word.
Material: SrGaRe3
Method: DFT, PBE
State: optimized geometry

The structure belongs to space group Pm-3m (No. 221); the cell edges are 4.708, 4.708 and 4.708 Å and the angles 90.00°, 90.00° and 90.00°. The asymmetric unit holds Sr at (0.000, 0.000, 0.000), Ga at (0.500, 0.500, 0.500) and Re at (0.000, 0.500, 0.500).

The calculation puts the calculated formation energy at 1.695 eV/atom. The crystal system is cubic. The value obtained for the volume is 20.877 Å³/atom. Its energy relative to the lowest polymorph listed for this composition is 0.000 eV per atom. The calculation puts the size of the total moment at 0.00 μB per formula unit.